Material: La3Tb8Th3
Method: DFT, PBE-GGA
State: relaxed

Spin magnetization ... 0.00 μB per formula unit
Electronic total energy ... -5.1233 eV per atom
E_form ... 0.168 eV per atom

abc: 9.5889 9.5889 5.6601
angles: 107.16 107.16 88.53
Closest atoms and distances in Å follow each position.
Sites, in units of the cell vectors:
La (0.0000, 0.0000, 0.0000)  2 La 3.54, 12 Tb 3.65-3.85
La (0.2828, 0.2828, 0.2811)  2 Th 3.39, 1 La 3.54, 4 Tb 3.72-3.73
La (0.7172, 0.7172, 0.7189)  2 Th 3.39, 1 La 3.54, 4 Tb 3.72-3.73
Tb (0.0179, 0.2529, 0.6355)  5 Tb 3.14-3.39
Tb (0.1180, 0.6040, 0.8606)  4 Tb 3.28-3.48, 2 Th 3.54
Tb (0.2529, 0.0179, 0.6355)  5 Tb 3.14-3.39
Tb (0.3960, 0.8820, 0.1394)  4 Tb 3.28-3.48, 2 Th 3.54
Tb (0.6040, 0.1180, 0.8606)  4 Tb 3.28-3.48, 2 Th 3.54
Tb (0.7471, 0.9821, 0.3645)  5 Tb 3.14-3.39
Tb (0.8820, 0.3960, 0.1394)  4 Tb 3.28-3.48, 2 Th 3.54
Tb (0.9821, 0.7471, 0.3645)  5 Tb 3.14-3.39
Th (0.3483, 0.6517, 0.5000)  2 La 3.39, 2 Th 3.48, 6 Tb 3.52-3.54
Th (0.5000, 0.5000, 0.0000)  4 Th 3.48, 4 Tb 3.69
Th (0.6517, 0.3483, 0.5000)  2 La 3.39, 2 Th 3.48, 6 Tb 3.52-3.54